# 1
4
Lattice="-0.340 5.283 -1.497 -1.366 -0.522 -5.304 -2.101 -1.259 4.927" Properties=species:S:1:pos:R:3 comment="BaTcCl2 (PBE, optimized geometry)" total_energy_ev_per_atom=-4.58 spacegroup="Immm, No. 71" dos_ef_per_ev_cell=2.17 pbc="T T T"
Cl -1.581 4.411 -6.301
Tc -1.647 3.203 0.014
Cl -0.978 2.731 -3.901
Ba -2.160 0.300 -1.889

# 2
4
Lattice="4.083 0.000 0.000 2.042 3.536 0.000 2.042 1.179 7.408" Properties=species:S:1:pos:R:3 comment="SrPaPd2 (PBE, optimized geometry)" total_energy_ev_per_atom=-5.82 spacegroup="R-3m, No. 166" ef_ev_per_fu=-1.73 dos_ef_per_ev_cell=3.50 pbc="T T T"
Pd 6.125 3.536 5.858
Sr 4.083 2.357 3.704
Pd 2.042 1.179 1.550
Pa 0.000 0.000 0.000

# 3
4
Lattice="-0.488 1.066 -2.915 1.038 -2.725 -1.170 -7.014 -2.744 0.170" Properties=species:S:1:pos:R:3 comment="MgAl2As (PBE, optimized geometry)" total_energy_ev_per_atom=-3.42 spacegroup="P4mm, No. 99" ef_ev_per_fu=0.05 dos_ef_per_ev_cell=2.11 pbc="T T T"
Mg -4.917 -2.860 -1.917
Al -1.536 -1.538 -1.998
Al -0.115 -0.045 0.003
As -3.403 -1.331 0.082

# 4
30
Lattice="6.756 0.000 0.000 0.000 6.756 0.000 0.000 0.000 17.230" Properties=species:S:1:pos:R:3 comment="LiPr2Hg12 (PBE, optimized geometry)" total_energy_ev_per_atom=-1.13 spacegroup="P4/nbm, No. 125" ef_ev_per_fu=-1.89 dos_ef_per_ev_cell=19.76 pbc="T T T"
Li 0.000 3.378 0.000
Hg 5.061 5.073 15.757
Hg 2.322 5.700 7.381
Hg 5.700 2.322 9.849
Hg 3.378 3.378 3.226
Hg 5.073 5.061 1.473
Hg 4.434 1.056 7.381
Hg 1.056 4.434 9.849
Pr 3.378 0.000 4.088
Hg 1.683 5.061 15.757
Hg 5.073 1.695 15.757
Hg 2.322 1.056 9.849
Hg 5.700 4.434 7.381
Hg 1.056 2.322 7.381
Hg 4.434 5.700 9.849
Hg 0.000 0.000 5.985
Pr 0.000 3.378 4.088
Hg 1.683 1.695 1.473
Hg 0.000 0.000 11.245
Pr 0.000 3.378 13.142
Hg 3.378 3.378 11.245
Hg 3.378 3.378 5.985
Hg 1.695 5.073 1.473
Hg 1.695 1.683 15.757
Hg 3.378 3.378 14.004
Pr 3.378 0.000 13.142
Li 3.378 0.000 0.000
Hg 0.000 0.000 14.004
Hg 5.061 1.683 1.473
Hg 0.000 0.000 3.226

# 5
4
Lattice="3.323 0.000 0.000 0.000 4.679 0.000 0.000 0.000 4.679" Properties=species:S:1:pos:R:3 comment="DyTmCo2 (PBE, optimized geometry)" total_energy_ev_per_atom=-6.00 spacegroup="P4/mmm, No. 123" ef_ev_per_fu=-0.73 dos_ef_per_ev_cell=1.69 pbc="T T T"
Co 0.000 2.339 0.000
Co 0.000 0.000 2.339
Tm 1.661 0.000 0.000
Dy 1.661 2.339 2.339

# 6
20
Lattice="3.641 0.000 0.000 0.000 10.063 0.000 0.000 0.000 10.063" Properties=species:S:1:pos:R:3 comment="La2Ga2SnRh5 (PBE, optimized geometry)" total_energy_ev_per_atom=-6.43 spacegroup="P4/mbm, No. 127" ef_ev_per_fu=-7.66 dos_ef_per_ev_cell=4.77 pbc="T T T"
Rh 1.821 5.717 7.144
Rh 1.821 4.345 2.919
La 0.000 6.803 1.772
Ga 0.000 6.246 8.848
Rh 1.821 5.031 0.000
Rh 1.821 2.113 0.686
Rh 1.821 7.144 4.345
Rh 1.821 0.000 5.031
La 0.000 3.259 8.291
Rh 1.821 9.377 2.113
La 0.000 8.291 6.803
La 0.000 1.772 3.259
Sn 0.000 0.000 0.000
Rh 1.821 2.919 5.717
Ga 0.000 8.848 3.817
Rh 1.821 7.950 9.377
Ga 0.000 1.214 6.246
Ga 0.000 3.817 1.214
Sn 0.000 5.031 5.031
Rh 1.821 0.686 7.950

# 7
6
Lattice="-1.562 2.525 5.747 0.384 -6.418 -0.717 3.427 0.106 0.885" Properties=species:S:1:pos:R:3 comment="IrSe5 (PBE, optimized geometry)" total_energy_ev_per_atom=-4.06 spacegroup="P-62m, No. 189" dos_ef_per_ev_cell=4.86 pbc="T T T"
Se -0.334 -1.103 1.425
Se 0.275 -4.599 -0.514
Se -1.119 1.809 4.119
Se 1.449 -3.384 1.880
Se 0.800 -0.403 4.035
Ir 1.714 0.053 0.442

# 8
4
Lattice="-4.207 -2.236 0.639 -0.445 -3.354 3.414 -2.628 0.898 3.923" Properties=species:S:1:pos:R:3 comment="PaInOsPd (PBE, optimized geometry)" total_energy_ev_per_atom=-7.42 spacegroup="F-43m, No. 216" ef_ev_per_fu=-1.03 dos_ef_per_ev_cell=3.64 pbc="T T T"
In -1.820 -1.173 1.994
Os -3.640 -2.346 3.988
Pa -5.459 -3.519 5.982
Pd 0.000 0.000 0.000

# 9
10
Lattice="4.532 0.000 0.000 0.000 4.532 0.000 0.000 0.000 11.081" Properties=species:S:1:pos:R:3 comment="Sr2TiSb3Pt4 (PBE, optimized geometry)" total_energy_ev_per_atom=-5.58 spacegroup="P-4m2, No. 115" dos_ef_per_ev_cell=8.45 pbc="T T T"
Pt 0.000 0.000 0.000
Ti 2.266 2.266 5.541
Pt 2.266 2.266 0.000
Pt 2.266 0.000 6.947
Sb 2.266 0.000 9.603
Sr 2.266 0.000 2.679
Sb 0.000 0.000 5.541
Pt 0.000 2.266 4.134
Sr 0.000 2.266 8.402
Sb 0.000 2.266 1.479

# 10
4
Lattice="3.972 0.000 0.000 1.986 3.440 0.000 1.986 1.147 11.299" Properties=species:S:1:pos:R:3 comment="Ac2PrHg (PBE, optimized geometry)" total_energy_ev_per_atom=-3.46 spacegroup="R3m, No. 160" ef_ev_per_fu=-0.54 dos_ef_per_ev_cell=4.91 pbc="T T T"
Hg 5.958 3.440 11.287
Ac 1.986 1.147 8.743
Pr 3.972 2.293 5.669
Ac 1.986 1.147 2.549

# 11
4
Lattice="2.953 0.000 0.000 0.000 3.001 -0.018 0.000 1.531 8.056" Properties=species:S:1:pos:R:3 comment="FeHg2Ru (PBE, optimized geometry)" total_energy_ev_per_atom=-4.25 spacegroup="Pm, No. 6" ef_ev_per_fu=1.33 dos_ef_per_ev_cell=3.79 pbc="T T T"
Hg 1.477 0.565 2.327
Fe 1.477 3.588 5.702
Ru 0.000 2.078 4.412
Hg 0.000 2.097 7.670

# 12
4
Lattice="-1.256 -0.486 -5.001 -3.917 -3.087 -1.398 -4.411 2.055 -1.774" Properties=species:S:1:pos:R:3 comment="TbLuCdAg (PBE, optimized geometry)" total_energy_ev_per_atom=-3.53 spacegroup="F-43m, No. 216" ef_ev_per_fu=-1.22 dos_ef_per_ev_cell=4.46 pbc="T T T"
Lu 0.000 0.000 0.000
Tb -4.792 -0.759 -4.087
Cd -7.188 -1.139 -6.131
Ag -2.396 -0.380 -2.044

# 13
4
Lattice="3.694 -0.003 0.000 -1.849 3.201 0.000 -1.846 -1.065 7.524" Properties=species:S:1:pos:R:3 comment="CePrBrN (PBE, optimized geometry)" total_energy_ev_per_atom=-6.55 spacegroup="R3m, No. 160" dos_ef_per_ev_cell=3.98 pbc="T T T"
Br 2.196 0.832 2.749
Pr 0.349 -0.234 5.117
Ce -1.501 2.967 0.327
N -1.498 0.834 6.627

# 14
10
Lattice="-1.272 5.648 -5.250 -7.010 -3.064 -1.598 -1.923 2.662 3.330" Properties=species:S:1:pos:R:3 comment="Na2AgTe2 (PBE, optimized geometry)" total_energy_ev_per_atom=-2.85 spacegroup="P4/mbm, No. 127" dos_ef_per_ev_cell=6.30 pbc="T T T"
Na -2.432 2.887 -0.428
Te -2.552 -0.085 -1.406
Ag 0.000 0.000 0.000
Na -4.533 5.071 -3.387
Na -5.672 0.176 -0.131
Na -7.772 2.360 -3.089
Te -6.270 -0.669 -3.085
Te -2.012 3.253 -3.762
Te -5.730 2.669 -5.442
Ag -4.141 1.292 -3.424

# 15
12
Lattice="4.000 0.004 -0.002 0.017 5.644 -0.006 0.004 0.008 7.955" Properties=species:S:1:pos:R:3 comment="Na2AcErF8 (PBE, optimized geometry)" total_energy_ev_per_atom=-5.89 spacegroup="P2/m, No. 10" dos_ef_per_ev_cell=0.00 pbc="T T T"
F 3.995 1.332 1.820
F 0.026 4.324 6.127
F 2.022 4.213 3.972
Na 2.009 2.826 1.814
F 3.997 1.337 6.128
F 1.996 1.238 -0.002
Er 0.000 0.000 0.000
Na 2.012 2.830 6.133
F 0.024 4.319 1.819
Ac 0.002 0.004 3.978
F 2.025 4.418 7.949
F 1.999 1.443 3.975

# 16
4
Lattice="3.413 0.000 0.000 1.707 2.956 0.000 1.707 0.985 11.827" Properties=species:S:1:pos:R:3 comment="Sm2ThAg (PBE, optimized geometry)" total_energy_ev_per_atom=-4.74 spacegroup="R-3m, No. 166" ef_ev_per_fu=0.77 dos_ef_per_ev_cell=2.74 pbc="T T T"
Ag 3.413 1.971 5.914
Sm 1.707 0.985 8.411
Th 0.000 0.000 0.000
Sm 5.120 2.956 3.416

# 17
4
Lattice="-3.229 -0.951 -2.166 -3.424 -0.970 1.832 -4.834 8.436 -0.198" Properties=species:S:1:pos:R:3 comment="Nd2TlPb (PBE, optimized geometry)" total_energy_ev_per_atom=-4.22 spacegroup="R-3m, No. 166" ef_ev_per_fu=-1.27 dos_ef_per_ev_cell=2.86 pbc="T T T"
Nd -2.873 1.633 -0.133
Tl 0.000 0.000 0.000
Pb -5.744 3.257 -0.266
Nd -8.614 4.881 -0.399

# 18
3
Lattice="-3.821 1.202 0.207 -0.906 -2.341 -3.129 1.246 -3.573 4.884" Properties=species:S:1:pos:R:3 comment="LaPrAl (PBE, optimized geometry)" total_energy_ev_per_atom=-4.67 spacegroup="I4mm, No. 107" ef_ev_per_fu=-0.57 dos_ef_per_ev_cell=3.90 pbc="T T T"
La -0.671 -2.488 2.056
Al -3.375 -4.318 1.637
Pr -2.581 -1.376 -0.794

# 19
4
Lattice="3.703 0.000 0.000 0.000 5.821 0.002 0.000 1.903 5.512" Properties=species:S:1:pos:R:3 comment="HgBrCl2 (PBE, optimized geometry)" total_energy_ev_per_atom=-1.58 spacegroup="Cmmm, No. 65" dos_ef_per_ev_cell=3.67 pbc="T T T"
Cl 0.000 3.374 2.411
Br 1.852 5.793 4.135
Hg 1.852 1.931 1.378
Cl 0.000 0.488 0.346

# 20
10
Lattice="7.911 -0.103 0.578 3.881 6.221 0.037 4.592 -0.362 7.283" Properties=species:S:1:pos:R:3 comment="KSn2Hg2 (PBE, optimized geometry)" total_energy_ev_per_atom=-2.04 spacegroup="P-1, No. 2" ef_ev_per_fu=-0.52 dos_ef_per_ev_cell=2.21 pbc="T T T"
K 5.760 1.125 5.793
Hg 3.402 1.277 1.869
Sn 6.287 4.521 0.607
Sn 9.168 0.965 4.332
Sn 7.216 4.791 3.567
Hg 7.185 1.922 2.409
Hg 12.981 4.479 6.030
K 10.624 4.632 2.105
Hg 9.199 3.834 5.489
Sn 10.097 1.235 7.291

# 21
4
Lattice="5.914 0.000 0.000 2.957 5.121 0.000 2.957 1.707 4.828" Properties=species:S:1:pos:R:3 comment="RbTlAuI (PBE, optimized geometry)" total_energy_ev_per_atom=-2.53 spacegroup="F-43m, No. 216" dos_ef_per_ev_cell=0.00 pbc="T T T"
Au 5.914 3.414 2.414
I 0.000 0.000 0.000
Rb 2.957 1.707 1.207
Tl 8.870 5.121 3.621

# 22
4
Lattice="4.218 0.000 0.000 0.000 4.218 0.000 0.000 0.000 4.120" Properties=species:S:1:pos:R:3 comment="Mg2SbRh (PBE, optimized geometry)" total_energy_ev_per_atom=-4.03 spacegroup="P4/mmm, No. 123" dos_ef_per_ev_cell=0.77 pbc="T T T"
Rh 2.109 0.000 2.060
Sb 0.000 2.109 2.060
Mg 2.109 2.109 0.000
Mg 0.000 0.000 0.000

# 23
16
Lattice="-3.828 2.162 2.442 0.527 -3.306 3.753 13.010 12.580 9.256" Properties=species:S:1:pos:R:3 comment="Sm12Tm3Cd (PBE, optimized geometry)" total_energy_ev_per_atom=-4.44 spacegroup="P4/mmm, No. 123" ef_ev_per_fu=-0.13 dos_ef_per_ev_cell=23.15 pbc="T T T"
Sm 2.950 5.784 4.681
Sm 11.685 9.391 10.002
Tm 3.224 3.118 2.294
Cd 0.000 0.000 0.000
Sm 5.127 3.050 5.337
Sm 8.158 8.913 10.076
Sm 9.508 12.125 9.347
Sm 1.852 -0.117 3.006
Sm -0.325 2.617 2.351
Sm 1.551 2.524 5.375
Sm 4.854 5.718 7.725
Tm 9.785 9.462 6.962
Sm -1.651 -0.572 3.097
Sm 6.233 8.958 7.016
Tm 6.505 6.290 4.628
Sm 8.410 6.224 7.672

# 24
6
Lattice="-3.228 -2.340 0.088 3.115 -4.361 -1.714 1.226 1.953 6.496" Properties=species:S:1:pos:R:3 comment="TbSm2S3 (PBE, optimized geometry)" total_energy_ev_per_atom=-6.43 spacegroup="Immm, No. 71" dos_ef_per_ev_cell=2.43 pbc="T T T"
Sm 1.008 0.504 5.167
Tb 0.556 -2.374 2.435
S 2.550 -1.658 4.234
Sm 0.105 -5.253 -0.297
S -1.001 -0.194 3.292
S -1.437 -3.091 0.636

# 25
6
Lattice="5.260 -0.676 0.000 -1.627 5.048 0.000 0.000 0.000 6.356" Properties=species:S:1:pos:R:3 comment="LiPmTl (PBE, optimized geometry)" total_energy_ev_per_atom=-3.26 spacegroup="Cmcm, No. 63" ef_ev_per_fu=-0.76 dos_ef_per_ev_cell=4.25 pbc="T T T"
Tl 3.208 1.030 1.589
Pm 0.776 3.051 1.589
Pm 2.857 1.321 4.767
Li 0.000 0.000 3.178
Tl 0.425 3.342 4.767
Li 0.000 0.000 0.000